Arrangement P

# CdPtI2O (PBE-GGA, relaxed)
data_CdPtI2O
_cell_length_a 5.7496
_cell_length_b 5.7496
_cell_length_c 3.8566
_cell_angle_alpha 90.00
_cell_angle_beta 90.00
_cell_angle_gamma 90.00
_symmetry_space_group_name_H-M 'P 4/m m m'
_symmetry_Int_Tables_number 123
_symmetry_space_group_name_Hall '-P 4 2'
loop_
_atom_site_label
_atom_site_fract_x
_atom_site_fract_y
_atom_site_fract_z
_atom_site_occupancy
Cd1 0.0000 0.0000 0.0000 1
Pt1 0.5000 0.5000 0.5000 1
I1 0.0000 0.5000 0.5000 1
O1 0.5000 0.5000 0.0000 1
# Total magnetic moment in Bohr magnetons per cell: 0.53


Arrangement Q

# CdPtI2O (PBE-GGA, relaxed)
data_CdPtI2O
_cell_length_a 5.8134
_cell_length_b 5.8134
_cell_length_c 3.9540
_cell_angle_alpha 90.00
_cell_angle_beta 90.00
_cell_angle_gamma 90.00
_symmetry_space_group_name_H-M 'P 4/m m m'
_symmetry_Int_Tables_number 123
_symmetry_space_group_name_Hall '-P 4 2'
loop_
_atom_site_label
_atom_site_fract_x
_atom_site_fract_y
_atom_site_fract_z
_atom_site_occupancy
Cd1 0.0000 0.0000 0.0000 1
Pt1 0.5000 0.5000 0.5000 1
I1 0.0000 0.5000 0.0000 1
O1 0.0000 0.0000 0.5000 1
# Total magnetic moment in Bohr magnetons per cell: 0.00


Relative energy table, unit kJ/mol of atoms: arrangement P 0.0; arrangement Q 63.3